# 1
## BaOs3O (GGA-PBEsol)

Data for BaOs3O after structural relaxation.

Geometry as CIF:
```
data_BaOs3O
_space_group_name_H-M_alt 'P m -3 m'
_space_group_IT_number 221
_space_group_name_Hall '-P 4 2 3'
_cell_length_a 4.323
_cell_length_b 4.323
_cell_length_c 4.323
_cell_angle_alpha 90.00
_cell_angle_beta 90.00
_cell_angle_gamma 90.00
loop_
_atom_site_label
_atom_site_fract_x
_atom_site_fract_y
_atom_site_fract_z
Ba1 0.000 0.000 0.000
Os1 0.000 0.500 0.500
O1 0.500 0.500 0.500
```

Results
The value obtained for the size of the total moment is 0.00 Bohr magnetons per cell. As for the density of states at the Fermi level: 1.476 states/eV/atom. The value obtained for the uncorrected formation energy is 1380 meV per atom.

# 2
## Ba2OsO4 (GGA-PBEsol)

Data for Ba2OsO4 after structural relaxation.

Geometry as CIF:
```
data_Ba2OsO4
_space_group_name_H-M_alt 'I 4/m m m'
_space_group_IT_number 139
_space_group_name_Hall '-I 4 2'
_cell_length_a 3.965
_cell_length_b 3.965
_cell_length_c 13.461
_cell_angle_alpha 90.00
_cell_angle_beta 90.00
_cell_angle_gamma 90.00
loop_
_atom_site_label
_atom_site_fract_x
_atom_site_fract_y
_atom_site_fract_z
Ba1 0.000 0.000 0.147
Os1 0.000 0.000 0.500
O1 0.000 0.000 0.345
O2 0.000 0.500 0.000
```

Results
The value obtained for the size of the total moment is 0.00 Bohr magnetons per cell. As for the density of states at the Fermi level: 0.451 states/eV/atom. The value obtained for the uncorrected formation energy is -2001 meV per atom.

# 3
## BaOsO3 (GGA-PBEsol)

Data for BaOsO3 after structural relaxation.

Geometry as CIF:
```
data_BaOsO3
_space_group_name_H-M_alt 'P m -3 m'
_space_group_IT_number 221
_space_group_name_Hall '-P 4 2 3'
_cell_length_a 4.010
_cell_length_b 4.010
_cell_length_c 4.010
_cell_angle_alpha 90.00
_cell_angle_beta 90.00
_cell_angle_gamma 90.00
loop_
_atom_site_label
_atom_site_fract_x
_atom_site_fract_y
_atom_site_fract_z
Ba1 0.000 0.000 0.000
Os1 0.500 0.500 0.500
O1 0.000 0.500 0.500
```

Results
The value obtained for the size of the total moment is 0.71 Bohr magnetons per cell. As for the density of states at the Fermi level: 0.701 states/eV/atom. The value obtained for the uncorrected formation energy is -1676 meV per atom.

# 4
## BaP2OsO (GGA-PBEsol)

Data for BaP2OsO after structural relaxation.

Geometry as CIF:
```
data_BaP2OsO
_space_group_name_H-M_alt 'P 4/m m m'
_space_group_IT_number 123
_space_group_name_Hall '-P 4 2'
_cell_length_a 4.940
_cell_length_b 4.940
_cell_length_c 3.817
_cell_angle_alpha 90.00
_cell_angle_beta 90.00
_cell_angle_gamma 90.00
loop_
_atom_site_label
_atom_site_fract_x
_atom_site_fract_y
_atom_site_fract_z
Ba1 0.000 0.000 0.000
P1 0.000 0.500 0.500
Os1 0.500 0.500 0.500
O1 0.500 0.500 0.000
```

Results
The value obtained for the size of the total moment is 0.00 Bohr magnetons per cell. As for the density of states at the Fermi level: 1.035 states/eV/atom. The value obtained for the uncorrected formation energy is -383 meV per atom.

# 5
## Ba2ScOsO6 (GGA-PBEsol)

Data for Ba2ScOsO6 after structural relaxation.

Geometry as CIF:
```
data_Ba2ScOsO6
_space_group_name_H-M_alt 'F m -3 m'
_space_group_IT_number 225
_space_group_name_Hall '-F 4 2 3'
_cell_length_a 8.132
_cell_length_b 8.132
_cell_length_c 8.132
_cell_angle_alpha 90.00
_cell_angle_beta 90.00
_cell_angle_gamma 90.00
loop_
_atom_site_label
_atom_site_fract_x
_atom_site_fract_y
_atom_site_fract_z
Ba1 0.250 0.250 0.250
Sc1 0.000 0.000 0.000
Os1 0.000 0.000 0.500
O1 0.000 0.000 0.258
```

Results
The value obtained for the size of the total moment is 8.89 Bohr magnetons per cell. As for the density of states at the Fermi level: 0.425 states/eV/atom. The value obtained for the uncorrected formation energy is -2513 meV per atom.

# 6
## Ba2YOsO6 (GGA-PBEsol)

Data for Ba2YOsO6 after structural relaxation.

Geometry as CIF:
```
data_Ba2YOsO6
_space_group_name_H-M_alt 'F m -3 m'
_space_group_IT_number 225
_space_group_name_Hall '-F 4 2 3'
_cell_length_a 8.344
_cell_length_b 8.344
_cell_length_c 8.344
_cell_angle_alpha 90.00
_cell_angle_beta 90.00
_cell_angle_gamma 90.00
loop_
_atom_site_label
_atom_site_fract_x
_atom_site_fract_y
_atom_site_fract_z
Ba1 0.250 0.250 0.250
Y1 0.000 0.000 0.000
Os1 0.000 0.000 0.500
O1 0.000 0.000 0.264
```

Results
The value obtained for the size of the total moment is 10.74 Bohr magnetons per cell. As for the density of states at the Fermi level: 0.342 states/eV/atom. The value obtained for the uncorrected formation energy is -2500 meV per atom.

Which formula does entry 2 have? Ba2OsO4

size of the total moment of number 6 (Ba2YOsO6)? 10.74 Bohr magnetons per cell

Which of these has the highest size of the total moment? Ba2YOsO6